## TbPrSiPt (GGA-PBE)

Data for a relaxed structure of TbPrSiPt.

a = 4.198 Å, b = 4.110 Å, c = 11.081 Å
α = 90.00°, β = 90.00°, γ = 90.00°
Sites, in units of the cell vectors:
Tb 0.000 0.000 0.000
Tb 0.000 0.500 0.500
Pr 0.500 0.000 0.279
Pr 0.500 0.500 0.779
Si 0.000 0.000 0.704
Si 0.000 0.500 0.204
Pt 0.500 0.000 0.557
Pt 0.500 0.500 0.057

V	23.90	A^3/atom
formation energy without anion corrections	-0.96	eV/atom
E_tot	-6.180	eV per atom

---

## ScNiOs (GGA-PBE)

Data for a relaxed structure of ScNiOs.

a = 2.799 Å, b = 2.799 Å, c = 11.530 Å
α = 90.00°, β = 90.00°, γ = 90.00°
Sites, in units of the cell vectors:
Sc 0.000 0.000 0.000
Sc 0.500 0.500 0.500
Ni 0.000 0.000 0.675
Ni 0.500 0.500 0.175
Os 0.000 0.000 0.318
Os 0.500 0.500 0.818

V	15.06	A^3/atom
E_tot	-7.808	eV per atom